# 1
This record from Alexandria via LeMat-Bulk describes a relaxed Cr2Ni2Ru crystal. The functional is PBE.

Unit cell a=3.291 b=3.291 c=6.195 alpha=74.60 beta=74.60 gamma=90.00
Fractional coordinates of all 5 atoms:
Ru1 0.000 0.000 0.000
Cr1 0.750 0.250 0.500
Cr2 0.250 0.750 0.500
Ni1 0.403 0.403 0.195
Ni2 0.597 0.597 0.805

As for the spin magnetization: 0.000 μB/atom. As for the crystal system: tetragonal. The value obtained for the final energy is -7.539 eV per atom. The energy above the most stable polymorph in this dataset is 275.3 meV/atom.

# 2
This record from Alexandria via LeMat-Bulk describes a relaxed Ba2YTe3 crystal. The functional is PBE.

Unit cell a=8.202 b=8.202 c=8.330 alpha=99.50 beta=99.50 gamma=119.99
Fractional coordinates of all 12 atoms:
Ba1 0.833 0.167 0.500
Ba2 0.333 0.667 0.000
Ba3 0.174 0.826 0.500
Ba4 0.492 0.508 0.500
Y1 0.002 0.998 0.000
Y2 0.665 0.335 0.000
Te1 0.616 0.950 0.781
Te2 0.050 0.384 0.219
Te3 0.902 0.591 0.774
Te4 0.257 0.235 0.774
Te5 0.409 0.098 0.226
Te6 0.765 0.743 0.226

As for the spin magnetization: 0.000 μB/atom. As for the crystal system: monoclinic. For the formation energy without anion corrections, the calculation gives -1.60 eV per atom. The value obtained for the final energy is -4.885 eV per atom.

# 3
This record from Alexandria via LeMat-Bulk describes a relaxed BeRe2Hg crystal. The functional is PBE.

Unit cell a=5.270 b=5.017 c=2.735 alpha=80.43 beta=79.61 gamma=115.65
Fractional coordinates of all 4 atoms:
Re1 0.000 0.000 0.000
Re2 0.000 0.500 0.500
Hg1 0.500 0.000 0.500
Be1 0.500 0.500 0.000

As for the spin magnetization: 0.000 μB/atom. As for the crystal system: monoclinic. The value obtained for the final energy is -6.461 eV per atom. The energy above the most stable polymorph in this dataset is 522.6 meV/atom.

# 4
This record from Alexandria via LeMat-Bulk describes a relaxed HfGaRh crystal. The functional is PBE.

Unit cell a=4.837 b=7.081 c=7.081 alpha=77.13 beta=74.01 gamma=74.02
Fractional coordinates of all 12 atoms:
Hf1 0.208 0.670 0.920
Hf2 0.792 0.830 0.580
Hf3 0.792 0.330 0.080
Hf4 0.208 0.170 0.420
Rh1 0.063 0.464 0.714
Rh2 0.063 0.964 0.214
Rh3 0.937 0.536 0.286
Rh4 0.937 0.036 0.786
Ga1 0.627 0.395 0.645
Ga2 0.627 0.895 0.145
Ga3 0.373 0.605 0.355
Ga4 0.373 0.105 0.855

As for the spin magnetization: 0.000 μB/atom. As for the crystal system: monoclinic. The value obtained for the final energy is -7.325 eV per atom.

# 5
This record from Alexandria via LeMat-Bulk describes a relaxed PrDy5Ho2 crystal. The functional is PBE.

Unit cell a=5.020 b=7.124 c=14.251 alpha=90.00 beta=90.00 gamma=90.00
Fractional coordinates of all 16 atoms:
Pr1 0.000 0.000 0.500
Pr2 0.000 0.500 0.000
Dy1 0.000 0.000 0.000
Dy2 0.000 0.500 0.500
Dy3 0.000 0.499 0.749
Dy4 0.000 0.501 0.251
Dy5 0.000 0.001 0.249
Dy6 0.000 0.999 0.751
Dy7 0.500 0.248 0.874
Dy8 0.500 0.752 0.126
Dy9 0.500 0.252 0.374
Dy10 0.500 0.748 0.626
Ho1 0.500 0.250 0.626
Ho2 0.500 0.750 0.374
Ho3 0.500 0.250 0.126
Ho4 0.500 0.750 0.874

As for the spin magnetization: 0.000 μB/atom. As for the crystal system: orthorhombic. The value obtained for the final energy is -4.600 eV per atom. The energy above the most stable polymorph in this dataset is 4.7 meV/atom.

# 6
This record from Alexandria via LeMat-Bulk describes a relaxed TbY2Th3As6 crystal. The functional is PBE.

Unit cell a=4.204 b=8.356 c=9.369 alpha=102.56 beta=102.97 gamma=90.00
Fractional coordinates of all 12 atoms:
Tb1 0.500 0.000 0.000
Y1 0.833 0.667 0.667
Y2 0.167 0.333 0.333
Th1 0.500 0.500 0.000
Th2 0.833 0.167 0.667
Th3 0.167 0.833 0.333
As1 0.335 0.913 0.669
As2 0.668 0.579 0.336
As3 0.665 0.087 0.331
As4 0.002 0.246 0.003
As5 0.998 0.754 0.997
As6 0.332 0.421 0.664

As for the spin magnetization: 0.000 μB/atom. As for the crystal system: monoclinic. The value obtained for the final energy is -7.122 eV per atom.

# 7
This record from Alexandria via LeMat-Bulk describes a relaxed Ir5Se3 crystal. The functional is PBE.

Unit cell a=7.305 b=7.305 c=5.723 alpha=90.00 beta=90.00 gamma=120.00
Fractional coordinates of all 16 atoms:
Ir1 0.333 0.667 0.000
Ir2 0.667 0.333 0.500
Ir3 0.667 0.333 0.000
Ir4 0.333 0.667 0.500
Ir5 0.208 0.000 0.250
Ir6 0.792 0.000 0.750
Ir7 0.000 0.208 0.250
Ir8 0.792 0.792 0.250
Ir9 0.208 0.208 0.750
Ir10 0.000 0.792 0.750
Se1 0.595 0.000 0.250
Se2 0.405 0.000 0.750
Se3 0.000 0.595 0.250
Se4 0.405 0.405 0.250
Se5 0.595 0.595 0.750
Se6 0.000 0.405 0.750

As for the spin magnetization: 0.000 μB/atom. As for the crystal system: hexagonal. For the formation energy without anion corrections, the calculation gives 0.83 eV per atom. The value obtained for the final energy is -6.018 eV per atom. The energy above the most stable polymorph in this dataset is 304.8 meV/atom.

# 8
This record from Alexandria via LeMat-Bulk describes a relaxed LiHfCo3 crystal. The functional is PBE.

Unit cell a=4.596 b=4.596 c=4.596 alpha=90.00 beta=90.00 gamma=90.00
Fractional coordinates of all 5 atoms:
Co1 0.000 0.500 0.000
Co2 0.000 0.000 0.500
Co3 0.500 0.000 0.000
Hf1 0.000 0.000 0.000
Li1 0.500 0.500 0.500

As for the spin magnetization: 0.444 μB/atom. As for the crystal system: cubic. The value obtained for the final energy is -5.410 eV per atom. The energy above the most stable polymorph in this dataset is 856.2 meV/atom.

# 9
This record from Alexandria via LeMat-Bulk describes a relaxed NdGdCdSn crystal. The functional is PBE.

Unit cell a=5.397 b=5.397 c=5.397 alpha=60.00 beta=60.00 gamma=60.00
Fractional coordinates of all 4 atoms:
Gd1 0.250 0.250 0.250
Nd1 0.750 0.750 0.750
Sn1 0.500 0.500 0.500
Cd1 0.000 0.000 0.000

As for the spin magnetization: 1.832 μB/atom. As for the crystal system: cubic. The value obtained for the final energy is -6.468 eV per atom.

# 10
This record from Alexandria via LeMat-Bulk describes a relaxed OsPbCl2 crystal. The functional is PBE.

Unit cell a=4.966 b=4.966 c=4.966 alpha=60.00 beta=60.00 gamma=60.00
Fractional coordinates of all 4 atoms:
Pb1 0.250 0.250 0.250
Os1 0.500 0.500 0.500
Cl1 0.000 0.000 0.000
Cl2 0.750 0.750 0.750

As for the spin magnetization: 0.557 μB/atom. As for the crystal system: cubic. For the formation energy without anion corrections, the calculation gives 0.89 eV per atom. The value obtained for the final energy is -3.765 eV per atom. The energy above the most stable polymorph in this dataset is 780.9 meV/atom.

Question: What is the formula in the fourth record?
Answer: HfGaRh

Copy entry 6 word for word.
This record from Alexandria via LeMat-Bulk describes a relaxed TbY2Th3As6 crystal. The functional is PBE.

Unit cell a=4.204 b=8.356 c=9.369 alpha=102.56 beta=102.97 gamma=90.00
Fractional coordinates of all 12 atoms:
Tb1 0.500 0.000 0.000
Y1 0.833 0.667 0.667
Y2 0.167 0.333 0.333
Th1 0.500 0.500 0.000
Th2 0.833 0.167 0.667
Th3 0.167 0.833 0.333
As1 0.335 0.913 0.669
As2 0.668 0.579 0.336
As3 0.665 0.087 0.331
As4 0.002 0.246 0.003
As5 0.998 0.754 0.997
As6 0.332 0.421 0.664

As for the spin magnetization: 0.000 μB/atom. As for the crystal system: monoclinic. The value obtained for the final energy is -7.122 eV per atom.

Question: What is the spin magnetization in the sixth record?
Answer: 0.000 μB/atom

Question: The highest final energy belongs to which entry?
Answer: OsPbCl2